1.
First-principles (SCAN) data for a crystal of Sc2SbSe relaxed with PBEsol, as listed in the Alexandria database.

Results
E = -91.332 eV/cell
Formation energy (no corrections) = -1.380 eV per atom
Energy relative to the lowest polymorph listed for this composition = 0.0143 eV per atom

Unit cell a=3.9761 b=3.9761 c=5.6154 alpha=90.00 beta=90.00 gamma=90.00
Sites, in units of the cell vectors:
Sc 0.0000 0.0000 0.0000
Sc 0.5000 0.5000 0.5000
Sb 0.0000 0.0000 0.5000
Se 0.5000 0.5000 0.0000


2.
First-principles (SCAN) data for a crystal of HfMgTaI2 relaxed with PBEsol, as listed in the Alexandria database.

Results
E = -200.417 eV/cell
Formation energy (no corrections) = 1.459 eV per atom

Unit cell a=5.3842 b=5.3842 c=5.7141 alpha=90.00 beta=90.00 gamma=90.00
Sites, in units of the cell vectors:
Hf 0.0000 0.0000 0.0000
Mg 0.0000 0.0000 0.5000
Ta 0.5000 0.5000 0.5000
I 0.0000 0.5000 0.0000
I 0.5000 0.0000 0.0000


3.
First-principles (SCAN) data for a crystal of In2TeBr relaxed with PBEsol, as listed in the Alexandria database.

Results
E = -498.898 eV/cell
Formation energy (no corrections) = -0.310 eV per atom
Energy relative to the lowest polymorph listed for this composition = 0.0989 eV per atom

Unit cell a=7.5900 b=7.5900 c=7.5900 alpha=90.00 beta=90.00 gamma=90.00
Sites, in units of the cell vectors:
In 0.2500 0.2500 0.2500
In 0.2500 0.2500 0.7500
In 0.2500 0.7500 0.2500
In 0.2500 0.7500 0.7500
In 0.7500 0.2500 0.2500
In 0.7500 0.2500 0.7500
In 0.7500 0.7500 0.2500
In 0.7500 0.7500 0.7500
Te 0.0000 0.0000 0.0000
Te 0.0000 0.5000 0.5000
Te 0.5000 0.0000 0.5000
Te 0.5000 0.5000 0.0000
Br 0.0000 0.0000 0.5000
Br 0.0000 0.5000 0.0000
Br 0.5000 0.0000 0.0000
Br 0.5000 0.5000 0.5000


What did the third record say?
First-principles (SCAN) data for a crystal of In2TeBr relaxed with PBEsol, as listed in the Alexandria database.

Results
E = -498.898 eV/cell
Formation energy (no corrections) = -0.310 eV per atom
Energy relative to the lowest polymorph listed for this composition = 0.0989 eV per atom

Unit cell a=7.5900 b=7.5900 c=7.5900 alpha=90.00 beta=90.00 gamma=90.00
Sites, in units of the cell vectors:
In 0.2500 0.2500 0.2500
In 0.2500 0.2500 0.7500
In 0.2500 0.7500 0.2500
In 0.2500 0.7500 0.7500
In 0.7500 0.2500 0.2500
In 0.7500 0.2500 0.7500
In 0.7500 0.7500 0.2500
In 0.7500 0.7500 0.7500
Te 0.0000 0.0000 0.0000
Te 0.0000 0.5000 0.5000
Te 0.5000 0.0000 0.5000
Te 0.5000 0.5000 0.0000
Br 0.0000 0.0000 0.5000
Br 0.0000 0.5000 0.0000
Br 0.5000 0.0000 0.0000
Br 0.5000 0.5000 0.5000


Question: What is the formula in the second record?
Answer: HfMgTaI2